[1]
Cs2AgPbI6, relaxed, DFT GGA-PBE; total energy = -26.0 eV per formula unit
1.0
-4.286 4.286 6.121
4.286 -4.286 6.121
4.286 4.286 -6.121
Cs I Pb Ag
2 6 1 1
direct
0.750 0.250 0.500
0.250 0.750 0.500
0.256 0.256 0.000
0.719 0.233 0.952
0.281 0.767 0.048
0.767 0.719 0.486
0.233 0.281 0.514
0.744 0.744 0.000
0.000 0.000 0.000
0.500 0.500 0.000



[2]
TlSiAgTeS2, relaxed, DFT GGA-PBE; total energy = -22.9 eV per formula unit
1.0
-0.092 6.694 -4.510
-1.000 -7.852 1.584
-10.384 1.949 3.103
Si S Te Ag Tl
2 4 2 2 2
direct
0.000 0.000 0.000
0.000 0.000 0.500
0.397 0.603 0.478
0.603 0.397 0.978
0.603 0.397 0.522
0.397 0.603 0.022
0.034 0.966 0.250
0.966 0.034 0.750
0.373 0.627 0.250
0.627 0.373 0.750
0.709 0.291 0.250
0.291 0.709 0.750



[3]
Ba2TcPbSe6, relaxed, DFT GGA-PBE; energy above the lowest structure with this stoichiometry = 16 kJ/mol of formula units; total energy = -47.1 eV per formula unit
1.0
-3.444 0.093 6.198
-6.835 -1.694 0.831
5.531 -6.104 -1.462
Se Ba Pb Tc
6 2 1 1
direct
0.819 0.311 0.344
0.181 0.689 0.656
0.689 0.181 0.656
0.724 0.724 0.818
0.276 0.276 0.182
0.311 0.819 0.344
0.225 0.225 0.748
0.775 0.775 0.252
0.000 0.000 0.000
0.500 0.500 0.500